The following is a GGA-PBE calculation of crystalline TmHg3Pd6 at its relaxed geometry, from the Alexandria database.

Computed properties:
symmetry = P2_1/m
ΔH_f (0 K) = -0.4099 eV per atom

```
TmHg3Pd6
1.0
4.298 0.000 0.000
0.000 8.686 -1.689
0.000 0.925 9.415
Pd Hg Tm
12 6 2
Direct
0.750 0.755 0.495
0.750 0.146 0.698
0.750 0.359 0.303
0.250 0.452 0.100
0.750 0.946 0.092
0.250 0.054 0.908
0.250 0.854 0.302
0.250 0.151 0.209
0.750 0.849 0.791
0.250 0.641 0.697
0.250 0.245 0.505
0.750 0.548 0.900
0.250 0.755 0.985
0.250 0.344 0.806
0.250 0.551 0.398
0.750 0.245 0.015
0.750 0.656 0.194
0.750 0.449 0.602
0.750 0.062 0.376
0.250 0.938 0.624
```



The following is a GGA-PBE calculation of crystalline Tm6Hg2Pd at its relaxed geometry, from the Alexandria database.

Computed properties:
symmetry = Immm
ΔH_f (0 K) = -0.2503 eV per atom

```
Tm6Hg2Pd
1.0
-2.568 4.114 1.072
-4.875 -3.898 3.279
7.443 0.568 4.160
Hg Pd Tm
2 1 6
Direct
0.667 0.667 0.334
0.333 0.333 0.666
0.000 0.000 0.000
0.500 0.761 0.000
0.500 0.239 0.000
0.161 0.916 0.322
0.839 0.084 0.678
0.161 0.406 0.322
0.839 0.594 0.678
```



The following is a GGA-PBE calculation of crystalline Tm3HgPd12 at its relaxed geometry, from the Alexandria database.

Computed properties:
symmetry = P4/mmm
ΔH_f (0 K) = -0.7097 eV per atom

```
Tm3HgPd12
1.0
4.074 0.000 0.000
0.000 4.074 0.000
0.000 0.000 16.442
Tm Pd Hg
3 12 1
Direct
0.000 0.000 0.500
0.000 0.000 0.249
0.000 0.000 0.751
0.500 0.500 0.749
0.500 0.500 0.000
0.000 0.500 0.125
0.500 0.000 0.125
0.500 0.000 0.875
0.500 0.500 0.500
0.000 0.500 0.375
0.000 0.500 0.875
0.000 0.500 0.625
0.500 0.500 0.251
0.500 0.000 0.625
0.500 0.000 0.375
0.000 0.000 0.000
```



The following is a GGA-PBE calculation of crystalline Tm2Hg3Pd8 at its relaxed geometry, from the Alexandria database.

Computed properties:
symmetry = R-3m
ΔH_f (0 K) = -0.2847 eV per atom

```
Tm2Hg3Pd8
1.0
-0.503 -4.636 -2.616
1.915 -4.505 2.152
-8.540 -4.672 4.460
Tm Pd Hg
2 8 3
Direct
0.634 0.634 0.097
0.366 0.366 0.903
0.774 0.269 0.687
0.731 0.226 0.313
0.723 0.723 0.830
0.731 0.731 0.313
0.277 0.277 0.170
0.269 0.269 0.687
0.269 0.774 0.687
0.226 0.731 0.313
0.814 0.814 0.558
0.000 0.000 0.000
0.186 0.186 0.442
```



The following is a GGA-PBE calculation of crystalline Tm4HgPd5 at its relaxed geometry, from the Alexandria database.

Computed properties:
symmetry = P4/mmm
ΔH_f (0 K) = -0.8235 eV per atom

```
Tm4HgPd5
1.0
3.479 0.000 0.000
0.000 3.479 0.000
0.000 0.000 16.709
Pd Tm Hg
5 4 1
Direct
0.500 0.500 0.500
0.500 0.500 0.291
0.500 0.500 0.095
0.500 0.500 0.709
0.500 0.500 0.905
0.000 0.000 0.812
0.000 0.000 0.396
0.000 0.000 0.604
0.000 0.000 0.188
0.000 0.000 0.000
```



The following is a GGA-PBE calculation of crystalline TmHgPd at its relaxed geometry, from the Alexandria database.

Computed properties:
symmetry = P6_3/mmc
ΔH_f (0 K) = -0.6733 eV per atom

```
TmHgPd
1.0
4.964 0.000 0.000
-2.480 4.299 0.000
0.000 0.000 5.927
Tm Hg Pd
2 2 2
Direct
0.667 0.833 0.750
0.333 0.167 0.250
0.000 0.500 0.000
0.000 0.500 0.500
0.333 0.167 0.750
0.667 0.833 0.250
```



The following is a GGA-PBE calculation of crystalline Tm2Hg3Pd at its relaxed geometry, from the Alexandria database.

Computed properties:
symmetry = Pmm2
ΔH_f (0 K) = -0.4895 eV per atom

```
Tm2Hg3Pd
1.0
-0.682 2.687 -1.951
-2.866 1.766 3.434
6.519 4.081 3.341
Pd Tm Hg
1 2 3
Direct
0.500 0.500 0.329
0.000 0.500 0.037
0.000 0.000 0.476
0.500 0.000 0.169
0.500 0.500 0.657
0.500 0.000 0.832
```



The following is a GGA-PBE calculation of crystalline Tm4Hg5Pd2 at its relaxed geometry, from the Alexandria database.

Computed properties:
symmetry = P2/m
ΔH_f (0 K) = -0.5804 eV per atom

```
Tm4Hg5Pd2
1.0
3.525 0.000 0.000
0.000 7.600 0.032
0.000 -0.694 9.589
Tm Hg Pd
4 5 2
Direct
0.500 0.231 0.437
0.500 0.769 0.563
0.500 0.180 0.855
0.500 0.820 0.145
0.000 0.168 0.141
0.000 0.454 0.672
0.000 0.832 0.859
0.000 0.546 0.328
0.000 0.500 0.000
0.000 0.929 0.363
0.000 0.071 0.637
```



The following is a GGA-PBE calculation of crystalline Tm5Hg4Pd at its relaxed geometry, from the Alexandria database.

Computed properties:
symmetry = P4/mmm
ΔH_f (0 K) = -0.5678 eV per atom

```
Tm5Hg4Pd
1.0
-2.263 1.351 2.483
-2.760 -0.369 -2.314
-3.075 -16.822 6.353
Hg Tm Pd
4 5 1
Direct
0.000 0.000 0.195
0.000 0.000 0.603
0.000 0.000 0.397
0.000 0.000 0.805
0.500 0.500 0.705
0.500 0.500 0.295
0.500 0.500 0.500
0.500 0.500 0.910
0.500 0.500 0.090
0.000 0.000 0.000
```



The following is a GGA-PBE calculation of crystalline TmHg2Pd6 at its relaxed geometry, from the Alexandria database.

Computed properties:
symmetry = C2/m
ΔH_f (0 K) = -0.4247 eV per atom

```
TmHg2Pd6
1.0
-1.109 -4.070 0.021
2.079 -2.734 3.625
-5.663 -0.610 6.617
Hg Pd Tm
2 6 1
Direct
0.313 0.636 0.738
0.687 0.364 0.262
0.342 0.262 0.054
0.343 0.929 0.386
0.988 0.190 0.835
0.012 0.810 0.165
0.657 0.071 0.614
0.658 0.738 0.946
0.000 0.500 0.500
```



The following is a GGA-PBE calculation of crystalline Tm2HgPd9 at its relaxed geometry, from the Alexandria database.

Computed properties:
symmetry = P4/mmm
ΔH_f (0 K) = -0.6439 eV per atom

```
Tm2HgPd9
1.0
4.065 0.000 0.000
0.000 4.065 0.000
0.000 0.000 12.362
Tm Pd Hg
2 9 1
Direct
0.000 0.000 0.669
0.000 0.000 0.331
0.500 0.500 0.665
0.000 0.500 0.167
0.500 0.000 0.833
0.500 0.000 0.500
0.500 0.500 0.335
0.000 0.500 0.500
0.500 0.500 0.000
0.000 0.500 0.833
0.500 0.000 0.167
0.000 0.000 0.000
```



The following is a GGA-PBE calculation of crystalline Tm2HgPd6 at its relaxed geometry, from the Alexandria database.

Computed properties:
symmetry = C2/m
ΔH_f (0 K) = -0.5162 eV per atom

```
Tm2HgPd6
1.0
-1.734 0.205 -4.369
2.612 -7.309 -1.380
-4.422 1.837 4.418
Pd Hg Tm
6 1 2
Direct
0.500 0.793 0.000
0.838 0.147 0.682
0.162 0.853 0.318
0.500 0.207 0.000
0.162 0.465 0.318
0.838 0.535 0.682
0.000 0.000 0.000
0.315 0.320 0.641
0.685 0.680 0.359
```



Q: What is the ΔH_f (0 K) in the ninth record?
A: -0.5678 eV per atom



Q: The lowest ΔH_f (0 K) belongs to which entry?
A: Tm4HgPd5



Q: Which value of ΔH_f (0 K) does entry 8 give?
A: -0.5804 eV per atom